A plane-wave DFT calculation with PBE was carried out for an optimized crystal structure of Th6IrOs2Cl3.

a = 4.236 Å, b = 8.997 Å, c = 9.835 Å
α = 108.35°, β = 102.44°, γ = 90.00°
Atoms (fractional coordinates):
Th 0.344 0.882 0.687
Th 0.679 0.552 0.358
Th 0.656 0.118 0.313
Th 0.014 0.220 0.028
Th 0.986 0.780 0.972
Th 0.321 0.448 0.642
Ir 0.500 0.000 0.000
Os 0.833 0.667 0.667
Os 0.167 0.333 0.333
Cl 0.500 0.500 0.000
Cl 0.833 0.163 0.667
Cl 0.167 0.837 0.333

## Properties
Calculated volume in Å³/cell: 346.46
Fermi-level density of states in states/eV per cell: 7.36
ΔE_f (raw) in eV/atom: -0.981
Total moment in μB per cell: 0.000
Calculated total energy in hartree per atom: -0.28527